Run a
First-principles (GGA-PBE) data for a relaxed structure of NdDy6Er3, as listed in Alexandria.

Lattice parameters (Å, degrees): 9.606 20.889 6.364 90.00 90.00 90.00
Space group Cmc2_1 (No. 36)
Asymmetric unit:
Nd 0.000 0.162 0.000 x4
Dy 0.000 0.015 0.197 x4
Dy 0.000 0.302 0.220 x4
Dy 0.176 0.281 0.679 x8
Dy 0.180 0.441 0.436 x8
Er 0.000 0.418 0.911 x4
Er 0.170 0.126 0.523 x8

Computed properties:
* crystal system: orthorhombic

Run b
First-principles (GGA-PBE) data for a relaxed structure of NdDy6Er3, as listed in Alexandria.

Lattice parameters (Å, degrees): 10.989 18.905 6.173 90.00 90.00 90.00
Space group Cmc2_1 (No. 36)
Asymmetric unit:
Nd 0.000 0.207 0.000 x4
Dy 0.000 0.047 0.237 x4
Dy 0.000 0.285 0.510 x4
Dy 0.165 0.454 0.621 x8
Dy 0.250 0.210 0.288 x8
Er 0.000 0.390 0.079 x4
Er 0.173 0.109 0.695 x8

Computed properties:
* crystal system: orthorhombic

What are the relative energies? In kJ/mol of atoms: run a 0.0; run b 2.5.